Entry 1:
Here is a relaxed HfFe3Ru crystal from Alexandria via LeMat-Bulk. Energies are from PBE-GGA.

```
data_HfFe3Ru
_chemical_formula_sum 'Hf1 Fe3 Ru1'
_symmetry_space_group_name_H-M 'P m -3 m'
_symmetry_Int_Tables_number 221
_symmetry_space_group_name_Hall '-P 4 2 3'
_cell_length_a 4.470
_cell_length_b 4.470
_cell_length_c 4.470
_cell_angle_alpha 90.00
_cell_angle_beta 90.00
_cell_angle_gamma 90.00
loop_
_atom_site_label
_atom_site_type_symbol
_atom_site_fract_x
_atom_site_fract_y
_atom_site_fract_z
Hf1 Hf 0.000 0.000 0.000
Fe1 Fe 0.000 0.000 0.500
Ru1 Ru 0.500 0.500 0.500
```

Values from the calculation:
The value obtained for the offset from the most stable computed form is 691 meV per atom.

Entry 2:
Here is a relaxed HfTaFeRu crystal from Alexandria via LeMat-Bulk. Energies are from PBE-GGA.

```
data_HfTaFeRu
_chemical_formula_sum 'Hf1 Ta1 Fe1 Ru1'
_symmetry_space_group_name_H-M 'P 4 m m'
_symmetry_Int_Tables_number 99
_cell_length_a 3.149
_cell_length_b 3.149
_cell_length_c 6.373
_cell_angle_alpha 90.00
_cell_angle_beta 90.00
_cell_angle_gamma 90.00
loop_
_symmetry_equiv_pos_as_xyz
'x,y,z'
'-y,x,z'
'-x,-y,z'
'y,-x,z'
'-x,y,z'
'y,x,z'
'x,-y,z'
'-y,-x,z'
loop_
_atom_site_label
_atom_site_type_symbol
_atom_site_fract_x
_atom_site_fract_y
_atom_site_fract_z
Hf1 Hf 0.000 0.000 0.000
Ta1 Ta 0.000 0.000 0.482
Fe1 Fe 0.500 0.500 0.254
Ru1 Ru 0.500 0.500 0.733
```

Entry 3:
Here is a relaxed HfTiFeRu crystal from Alexandria via LeMat-Bulk. Energies are from PBE-GGA.

```
data_HfTiFeRu
_chemical_formula_sum 'Hf1 Ti1 Fe1 Ru1'
_symmetry_space_group_name_H-M 'P 4 m m'
_symmetry_Int_Tables_number 99
_cell_length_a 3.119
_cell_length_b 3.119
_cell_length_c 6.202
_cell_angle_alpha 90.00
_cell_angle_beta 90.00
_cell_angle_gamma 90.00
loop_
_symmetry_equiv_pos_as_xyz
'x,y,z'
'-y,x,z'
'-x,-y,z'
'y,-x,z'
'-x,y,z'
'y,x,z'
'x,-y,z'
'-y,-x,z'
loop_
_atom_site_label
_atom_site_type_symbol
_atom_site_fract_x
_atom_site_fract_y
_atom_site_fract_z
Hf1 Hf 0.000 0.000 0.000
Ti1 Ti 0.000 0.000 0.515
Fe1 Fe 0.500 0.500 0.747
Ru1 Ru 0.500 0.500 0.271
```

It is found that the E_form values, taken in the order of the records, are 1.764; -0.410; -0.540 eV per atom.